## Hf3CS (GGA-PBE)

Data for crystalline Hf3CS at its relaxed geometry.

Lattice parameters (Å, degrees): 4.4618 4.4618 4.4618 90.00 90.00 90.00
Positions (direct):
Hf  0.0000  0.0000  0.5000
Hf  0.0000  0.5000  0.0000
Hf  0.5000  0.0000  0.0000
C  0.0000  0.0000  0.0000
S  0.5000  0.5000  0.5000

Volume in Å³/atom: 17.76
Energy in eV/cell: -43.668

## Hf4CS (GGA-PBE)

Data for crystalline Hf4CS at its relaxed geometry.

Lattice parameters (Å, degrees): 6.6228 6.6228 6.6228 106.21 106.21 116.22
Positions (direct):
Hf  0.1447  0.4504  0.6943
Hf  0.2004  0.0061  0.8057
Hf  0.2004  0.3947  0.1943
Hf  0.2889  0.0000  0.2889
Hf  0.7111  0.0000  0.7111
Hf  0.7500  0.5389  0.7889
Hf  0.7500  0.9611  0.2111
Hf  0.7561  0.4504  0.3057
C  0.7165  0.2165  0.5000
C  0.9665  0.9665  0.0000
S  0.2350  0.7350  0.5000
S  0.4850  0.4850  0.0000

Volume in Å³/atom: 18.44
Energy in eV/cell: -115.354